{"formula": "Eu3O4", "functional": "PBE-GGA", "state": "optimized geometry", "cell": [[10.2000, 0.0000, 0.0000], [0.0000, 3.4773, 0.0000], [0.0000, 0.0000, 12.1572]], "species": ["Eu", "Eu", "Eu", "Eu", "Eu", "Eu", "Eu", "Eu", "Eu", "Eu", "Eu", "Eu", "O", "O", "O", "O", "O", "O", "O", "O", "O", "O", "O", "O", "O", "O", "O", "O"], "fractional_positions": [[0.0731, 0.2500, 0.1135], [0.0851, 0.2500, 0.6108], [0.2433, 0.2500, 0.8528], [0.2567, 0.7500, 0.3528], [0.4149, 0.7500, 0.1108], [0.4269, 0.7500, 0.6135], [0.5731, 0.2500, 0.3865], [0.5851, 0.2500, 0.8892], [0.7433, 0.2500, 0.6472], [0.7567, 0.7500, 0.1472], [0.9149, 0.7500, 0.3892], [0.9269, 0.7500, 0.8865], [0.0155, 0.2500, 0.7949], [0.0767, 0.2500, 0.4137], [0.1429, 0.7500, 0.9797], [0.2252, 0.7500, 0.6998], [0.2748, 0.2500, 0.1998], [0.3571, 0.2500, 0.4797], [0.4233, 0.7500, 0.9137], [0.4845, 0.7500, 0.2949], [0.5155, 0.2500, 0.7051], [0.5767, 0.2500, 0.0863], [0.6429, 0.7500, 0.5203], [0.7252, 0.7500, 0.8002], [0.7748, 0.2500, 0.3002], [0.8571, 0.2500, 0.0203], [0.9233, 0.7500, 0.5863], [0.9845, 0.7500, 0.2051]], "e_form_raw_ev_per_atom": -2.80, "total_magnetization_mub_per_atom": 0.900, "dft_energy_ry_per_atom": -0.7379}

---

{"formula": "Sm2Dy5ErSc", "functional": "PBE-GGA", "state": "optimized geometry", "cell": [[2.7625, -10.0136, 0.0000], [2.7625, 10.0136, 0.0000], [0.0000, 0.0000, 10.3383]], "species": ["Sm", "Sm", "Sm", "Sm", "Dy", "Dy", "Dy", "Dy", "Dy", "Dy", "Dy", "Dy", "Dy", "Dy", "Er", "Er", "Sc", "Sc"], "fractional_positions": [[0.1125, 0.8875, 0.5000], [0.1150, 0.8850, 0.9225], [0.8850, 0.1150, 0.4225], [0.8875, 0.1125, 0.0000], [0.0162, 0.9838, 0.2024], [0.2745, 0.7255, 0.5072], [0.2994, 0.7006, 0.8899], [0.3744, 0.6256, 0.2068], [0.4829, 0.5171, 0.9280], [0.5171, 0.4829, 0.4280], [0.6256, 0.3744, 0.7068], [0.7006, 0.2994, 0.3899], [0.7255, 0.2745, 0.0072], [0.9838, 0.0162, 0.7024], [0.4070, 0.5930, 0.6451], [0.5930, 0.4070, 0.1451], [0.1949, 0.8051, 0.2015], [0.8051, 0.1949, 0.7015]], "total_magnetization_mub_per_atom": 0.000, "formation_enthalpy_0k_kj_per_mol_fu": 136, "dft_energy_ry_per_atom": -0.3425}

---

{"formula": "Na2Li2TlPb2", "functional": "PBE-GGA", "state": "optimized geometry", "cell": [[4.8361, -2.4918, 0.0000], [4.8361, 2.4918, 0.0000], [-2.1440, 0.0000, 7.5546]], "species": ["Na", "Na", "Li", "Li", "Tl", "Pb", "Pb"], "fractional_positions": [[0.1478, 0.1478, 0.3245], [0.8522, 0.8522, 0.6755], [0.4573, 0.4573, 0.1424], [0.5427, 0.5427, 0.8576], [0.5000, 0.5000, 0.5000], [0.2087, 0.2087, 0.8387], [0.7913, 0.7913, 0.1613]], "total_magnetization_mub_per_atom": 0.000, "formation_enthalpy_0k_kj_per_mol_fu": -83, "dft_energy_ry_per_atom": -0.1796}

---

{"formula": "Zn5InPd6", "functional": "PBE-GGA", "state": "optimized geometry", "cell": [[4.1511, 0.0000, 0.0000], [0.0000, 6.9898, 0.0000], [-2.0551, 0.0000, 6.2247]], "species": ["Zn", "Zn", "Zn", "Zn", "Zn", "In", "Pd", "Pd", "Pd", "Pd", "Pd", "Pd"], "fractional_positions": [[0.0000, 0.0000, 0.0000], [0.3283, 0.5000, 0.6561], [0.3335, 0.0000, 0.6672], [0.6665, 0.0000, 0.3328], [0.6717, 0.5000, 0.3439], [0.0000, 0.5000, 0.0000], [0.1689, 0.2418, 0.3375], [0.1689, 0.7582, 0.3375], [0.5000, 0.2377, 0.0000], [0.5000, 0.7623, 0.0000], [0.8311, 0.2418, 0.6625], [0.8311, 0.7582, 0.6625]], "total_magnetization_mub_per_atom": 0.000, "formation_enthalpy_0k_kj_per_mol_fu": -625, "dft_energy_ry_per_atom": -0.2863}

---

{"formula": "PbAu2S", "functional": "PBE-GGA", "state": "optimized geometry", "cell": [[-3.3193, 3.3193, 4.8257], [3.3193, -3.3193, 4.8257], [3.3193, 3.3193, -4.8257]], "species": ["Pb", "Pb", "Au", "Au", "Au", "Au", "S", "S"], "fractional_positions": [[0.0000, 0.0000, 0.0000], [0.7500, 0.2500, 0.5000], [0.1767, 0.6250, 0.0517], [0.3750, 0.4267, 0.5517], [0.5733, 0.1250, 0.9483], [0.8750, 0.8233, 0.4483], [0.2500, 0.7500, 0.5000], [0.5000, 0.5000, 0.0000]], "e_form_raw_ev_per_atom": 0.12, "total_magnetization_mub_per_atom": 0.000, "dft_energy_ry_per_atom": -0.2557}

---

{"formula": "Al2SbPb2", "functional": "PBE-GGA", "state": "optimized geometry", "cell": [[-1.9355, 1.9355, 8.9351], [1.9355, -1.9355, 8.9351], [1.9355, 1.9355, -8.9351]], "species": ["Al", "Al", "Sb", "Pb", "Pb"], "fractional_positions": [[0.2500, 0.7500, 0.5000], [0.7500, 0.2500, 0.5000], [0.0000, 0.0000, 0.0000], [0.3923, 0.3923, 0.0000], [0.6077, 0.6077, 0.0000]], "e_form_raw_ev_per_atom": 0.22, "polymorph_energy_mev_per_atom": 36, "total_magnetization_mub_per_atom": 0.000, "dft_energy_ry_per_atom": -0.2638}

---

{"formula": "RbAlSn", "functional": "PBE-GGA", "state": "optimized geometry", "cell": [[4.5474, -4.4945, 0.0000], [4.5474, 4.4945, 0.0000], [-3.9928, 0.0000, 5.7042]], "species": ["Rb", "Rb", "Al", "Al", "Sn", "Sn"], "fractional_positions": [[0.0000, 0.0000, 0.0000], [0.6380, 0.6380, 0.2278], [0.2937, 0.5827, 0.5667], [0.5827, 0.2937, 0.5667], [0.0253, 0.3473, 0.6539], [0.3473, 0.0253, 0.6539]], "total_magnetization_mub_per_atom": 0.000, "formation_enthalpy_0k_kj_per_mol_fu": -1, "dft_energy_ry_per_atom": -0.2137}

---

{"formula": "CeSm4Y7", "functional": "PBE-GGA", "state": "optimized geometry", "cell": [[9.5309, -3.4647, 0.0000], [9.5309, 3.4647, 0.0000], [-0.0304, 0.0000, 6.0238]], "species": ["Ce", "Sm", "Sm", "Sm", "Sm", "Y", "Y", "Y", "Y", "Y", "Y", "Y"], "fractional_positions": [[0.0000, 0.0000, 0.0000], [0.1380, 0.5910, 0.7509], [0.4090, 0.8620, 0.2491], [0.5910, 0.1380, 0.7509], [0.8620, 0.4090, 0.2491], [0.0000, 0.0000, 0.5000], [0.1851, 0.1851, 0.7494], [0.2837, 0.2837, 0.2492], [0.4588, 0.4588, 0.2501], [0.5412, 0.5412, 0.7499], [0.7163, 0.7163, 0.7508], [0.8149, 0.8149, 0.2506]], "total_magnetization_mub_per_atom": 0.138, "formation_enthalpy_0k_kj_per_mol_fu": 164, "dft_energy_ry_per_atom": -0.4187}